Entry 1:
GGA-PBE CdAs2Rh4, relaxed; formation energy from the elements = -337 meV/atom; raw total energy = -167.925 eV/cell; calculated density = 10.13 Mg/m³
1.0
4.0264 0.0000 0.0000
0.0000 5.9515 0.0000
0.0000 0.0000 18.4398
Rh As Cd
16 8 4
Direct
0.2500 0.1531 0.5308 Rh
0.7500 0.8469 0.4692 Rh
0.7500 0.0067 0.0788 Rh
0.2500 0.7195 0.6793 Rh
0.2500 0.2445 0.6949 Rh
0.7500 0.2195 0.8207 Rh
0.7500 0.2805 0.3207 Rh
0.7500 0.6531 0.9692 Rh
0.2500 0.2555 0.1949 Rh
0.7500 0.4933 0.5788 Rh
0.7500 0.7555 0.3051 Rh
0.2500 0.3469 0.0308 Rh
0.2500 0.5067 0.4212 Rh
0.2500 0.7805 0.1793 Rh
0.2500 0.9933 0.9212 Rh
0.7500 0.7445 0.8051 Rh
0.7500 0.0274 0.2118 As
0.2500 0.7288 0.5405 As
0.2500 0.7712 0.0405 As
0.2500 0.9726 0.7882 As
0.7500 0.4726 0.7118 As
0.7500 0.2712 0.4595 As
0.7500 0.2288 0.9595 As
0.2500 0.5274 0.2882 As
0.2500 0.5081 0.8735 Cd
0.2500 0.9919 0.3735 Cd
0.7500 0.0081 0.6265 Cd
0.7500 0.4919 0.1265 Cd

***

Entry 2:
GGA-PBE ScTe2As, relaxed; raw total energy = -18.521 eV/cell; E_form (uncorrected) = -314 meV per atom; calculated density = 6.03 Mg/m³
1.0
-3.5711 -0.0446 -2.1020
0.8919 -5.9152 -1.3898
-1.9725 -1.0902 3.3742
Sc As Te
1 1 2
Direct
0.0000 0.5000 0.5000 Sc
0.5000 0.0000 0.5000 As
0.5000 0.5000 0.0000 Te
0.0000 0.0000 0.0000 Te

***

Entry 3:
GGA-PBE LaDyLuSn, relaxed; formation energy from the elements = -255 meV/atom; raw total energy = -19.072 eV/cell; calculated density = 8.44 Mg/m³
1.0
-2.8529 -4.5669 -1.0742
2.5379 -4.3916 -2.1030
0.7341 -4.4845 3.0822
Lu Sn Dy La
1 1 1 1
Direct
0.7500 0.7500 0.7500 Lu
0.2500 0.2500 0.2500 Sn
0.5000 0.5000 0.5000 Dy
0.0000 0.0000 0.0000 La

***

Entry 4:
GGA-PBE Pa3Zn2Co6, relaxed; formation energy from the elements = -322 meV/atom; raw total energy = -154.434 eV/cell; calculated density = 11.60 Mg/m³
1.0
-5.8427 4.8438 -0.2823
-1.7998 -5.8805 4.4567
6.0936 3.5455 2.8247
Co Zn Pa
12 4 6
Direct
0.3523 0.7046 0.3523 Co
0.0000 0.3523 0.6477 Co
0.7046 0.3523 0.3523 Co
0.2954 0.6477 0.6477 Co
0.6477 0.2954 0.6477 Co
0.0000 0.6477 0.3523 Co
0.6477 0.3523 0.0000 Co
0.3523 0.0000 0.6477 Co
0.3523 0.6477 0.0000 Co
0.3523 0.3523 0.7046 Co
0.6477 0.0000 0.3523 Co
0.6477 0.6477 0.2954 Co
0.0000 0.0000 0.5000 Zn
0.5000 0.5000 0.5000 Zn
0.0000 0.5000 0.0000 Zn
0.5000 0.0000 0.0000 Zn
0.2908 0.0000 0.2908 Pa
0.7092 0.0000 0.7092 Pa
0.0000 0.2908 0.2908 Pa
0.7092 0.7092 0.0000 Pa
0.0000 0.7092 0.7092 Pa
0.2908 0.2908 0.0000 Pa

***

Entry 5:
GGA-PBE Cs2HfInTe4, relaxed; raw total energy = -66.457 eV/cell; E_form (uncorrected) = -783 meV per atom; calculated density = 4.56 Mg/m³
1.0
7.4525 0.0000 0.0000
3.7262 7.7393 0.0000
3.7262 0.0000 13.5196
In Te Cs Hf
2 8 4 2
Direct
0.2500 0.5000 0.5000 In
0.5000 0.0000 0.0000 In
0.6186 0.2007 0.1125 Te
0.1807 0.2007 0.8875 Te
0.8182 0.7007 0.6125 Te
0.9318 0.7993 0.8875 Te
0.4810 0.7007 0.3875 Te
0.2690 0.7993 0.1125 Te
0.1314 0.2993 0.3875 Te
0.5693 0.2993 0.6125 Te
0.8187 0.0000 0.3626 Cs
0.9313 0.5000 0.1374 Cs
0.1813 0.0000 0.6374 Cs
0.5687 0.5000 0.8626 Cs
0.7500 0.5000 0.5000 Hf
0.0000 0.0000 0.0000 Hf

***

Entry 6:
GGA-PBE TbGd2, relaxed; formation energy from the elements = 89 meV/atom; raw total energy = -32.524 eV/cell; ΔE to the lowest computed polymorph = 0.000 eV/atom; calculated density = 8.05 Mg/m³
1.0
4.1517 0.0000 0.0000
0.0000 4.1517 0.0000
-2.0759 -2.0759 5.6658
Gd Tb
2 1
Direct
0.6666 0.6666 0.3332 Gd
0.3334 0.3334 0.6668 Gd
0.0000 0.0000 0.0000 Tb